1.
# CoCuPb2 (PBE, optimized geometry)
# Energy relative to the elements = 0.460 eV per atom
# N(E_F) = 2.26 states/eV/f.u.
# Distance to the lowest polymorph of the same formula = 3.581 kcal/mol of atoms
# V = 20.3 Å³ per atom
data_CoCuPb2
_chemical_formula_sum 'Co3 Cu3 Pb6'
_space_group_name_H-M_alt 'R -3 m'
_space_group_IT_number 166
_space_group_name_Hall '-R 3 2"'
_cell_length_a 3.3789
_cell_length_b 3.3789
_cell_length_c 24.5894
_cell_angle_alpha 90.00
_cell_angle_beta 90.00
_cell_angle_gamma 120.00
loop_
_atom_site_label
_atom_site_type_symbol
_atom_site_fract_x
_atom_site_fract_y
_atom_site_fract_z
_atom_site_occupancy
Co1 Co 0.0000 0.0000 0.0000 1
Cu1 Cu 0.0000 0.0000 0.5000 1
Pb1 Pb 0.0000 0.0000 0.2538 1

***

2.
# TiV2CdSb (PBE, optimized geometry)
# N(E_F) = 7.81 states/eV/f.u.
# V = 26.1 Å³ per atom
data_TiV2CdSb
_chemical_formula_sum 'Ti1 V2 Cd1 Sb1'
_space_group_name_H-M_alt 'P 4/m m m'
_space_group_IT_number 123
_space_group_name_Hall '-P 4 2'
_cell_length_a 4.9841
_cell_length_b 4.9841
_cell_length_c 5.2467
_cell_angle_alpha 90.00
_cell_angle_beta 90.00
_cell_angle_gamma 90.00
loop_
_atom_site_label
_atom_site_type_symbol
_atom_site_fract_x
_atom_site_fract_y
_atom_site_fract_z
_atom_site_occupancy
Ti1 Ti 0.0000 0.0000 0.0000 1
V1 V 0.0000 0.5000 0.5000 1
Cd1 Cd 0.5000 0.5000 0.0000 1
Sb1 Sb 0.5000 0.5000 0.5000 1

***

3.
# Cs4Ca3TlBr12 (PBE, optimized geometry)
# N(E_F) = 5.64 states/eV/f.u.
# V = 39.2 Å³ per atom
data_Cs4Ca3TlBr12
_chemical_formula_sum 'Cs8 Ca6 Tl2 Br24'
_space_group_name_H-M_alt 'I m -3 m'
_space_group_IT_number 229
_space_group_name_Hall '-I 4 2 3'
_cell_length_a 11.6221
_cell_length_b 11.6221
_cell_length_c 11.6221
_cell_angle_alpha 90.00
_cell_angle_beta 90.00
_cell_angle_gamma 90.00
loop_
_atom_site_label
_atom_site_type_symbol
_atom_site_fract_x
_atom_site_fract_y
_atom_site_fract_z
_atom_site_occupancy
Cs1 Cs 0.2500 0.2500 0.2500 1
Ca1 Ca 0.0000 0.0000 0.5000 1
Tl1 Tl 0.0000 0.0000 0.0000 1
Br1 Br 0.0000 0.0000 0.2543 1
Br2 Br 0.0000 0.2500 0.5000 1

***

4.
# TaAl2Sb (PBE, optimized geometry)
# N(E_F) = 1.46 states/eV/f.u.
# V = 19.5 Å³ per atom
data_TaAl2Sb
_chemical_formula_sum 'Ta1 Al2 Sb1'
_space_group_name_H-M_alt 'P 4/m m m'
_space_group_IT_number 123
_space_group_name_Hall '-P 4 2'
_cell_length_a 2.9790
_cell_length_b 2.9790
_cell_length_c 8.7834
_cell_angle_alpha 90.00
_cell_angle_beta 90.00
_cell_angle_gamma 90.00
loop_
_atom_site_label
_atom_site_type_symbol
_atom_site_fract_x
_atom_site_fract_y
_atom_site_fract_z
_atom_site_occupancy
Ta1 Ta 0.0000 0.0000 0.0000 1
Al1 Al 0.5000 0.5000 0.2175 1
Sb1 Sb 0.0000 0.0000 0.5000 1

***

5.
# Np2IrRh4 (PBE, optimized geometry)
# Energy relative to the elements = -0.191 eV per atom
# N(E_F) = 11.69 states/eV/f.u.
# V = 17.2 Å³ per atom
data_Np2IrRh4
_chemical_formula_sum 'Np8 Ir4 Rh16'
_space_group_name_H-M_alt 'C 1 2/c 1'
_space_group_IT_number 15
_cell_length_a 9.4148
_cell_length_b 5.4638
_cell_length_c 10.0867
_cell_angle_alpha 90.00
_cell_angle_beta 111.49
_cell_angle_gamma 90.00
loop_
_space_group_symop_operation_xyz
'x,y,z'
'-x,-y,-z'
'-x,y,-z+1/2'
'x,-y,z+1/2'
'x+1/2,y+1/2,z'
'-x+1/2,-y+1/2,-z'
'-x+1/2,y+1/2,-z+1/2'
'x+1/2,-y+1/2,z+1/2'
loop_
_atom_site_label
_atom_site_type_symbol
_atom_site_fract_x
_atom_site_fract_y
_atom_site_fract_z
_atom_site_occupancy
Np1 Np 0.0782 0.2162 0.0028 1
Ir1 Ir 0.2500 0.2500 0.5000 1
Rh1 Rh 0.0000 0.1476 0.2500 1
Rh2 Rh 0.0000 0.3740 0.7500 1
Rh3 Rh 0.2500 0.0864 0.7639 1

***

6.
# Ca2YCr (PBE, optimized geometry)
# Energy relative to the elements = 0.379 eV per atom
# N(E_F) = 4.09 states/eV/f.u.
# Distance to the lowest polymorph of the same formula = 2.269 kcal/mol of atoms
# V = 30.9 Å³ per atom
data_Ca2YCr
_chemical_formula_sum 'Ca4 Y2 Cr2'
_space_group_name_H-M_alt 'C 1 m 1'
_space_group_IT_number 8
_cell_length_a 12.7203
_cell_length_b 3.8075
_cell_length_c 5.7234
_cell_angle_alpha 90.00
_cell_angle_beta 116.72
_cell_angle_gamma 90.00
loop_
_space_group_symop_operation_xyz
'x,y,z'
'x,-y,z'
'x+1/2,y+1/2,z'
'x+1/2,-y+1/2,z'
loop_
_atom_site_label
_atom_site_type_symbol
_atom_site_fract_x
_atom_site_fract_y
_atom_site_fract_z
_atom_site_occupancy
Ca1 Ca 0.0000 0.0000 0.0000 1
Ca2 Ca 0.2128 0.0000 0.7137 1
Y1 Y 0.4187 0.0000 0.4188 1
Cr1 Cr 0.2205 0.5000 0.2221 1

***

Per-record spin magnetization, Bohr magnetons per cell: 3.24, 3.09, 0.00, 0.00, 23.90, 6.78
Per-record raw total energy, eV/atom: -4.194, -4.893, -3.321, -5.786, -9.355, -4.644